The following is a DFT calculation (GGA-PBE) of a relaxed Tb4YCu4 crystal.

The formation energy is -30.3 meV per atom. For the total energy, the calculation gives -83.28 eV/cell.

The structure belongs to space group P4_2/n (No. 86, origin choice 2); the cell edges are 8.648, 8.648 and 5.921 Å and the angles 90.00°, 90.00° and 90.00°. The distinct sites, in fractional coordinates, are Tb at (0.055, 0.662, 0.151), Y at (0.250, 0.250, 0.250) and Cu at (0.023, 0.619, 0.626).